No. 1
A plane-wave DFT calculation with PBE-GGA was carried out for an optimized crystal structure of Li3As2Au3.

```
Li3As2Au3
1.0
4.552 0.000 0.000
-2.276 3.945 0.000
0.000 0.000 17.298
Au Li As
6 6 4
Cartesian
2.276 0.004 10.189
0.000 3.940 7.109
2.276 2.625 12.973
2.276 0.004 15.758
0.000 1.319 4.324
0.000 3.940 1.540
0.000 1.318 9.504
0.000 1.318 16.443
0.000 3.941 12.973
2.276 2.627 7.794
2.276 0.004 4.324
2.276 2.627 0.855
2.276 2.632 10.515
0.000 1.312 6.782
0.000 1.312 1.866
2.276 2.632 15.431
```

Values from the calculation:
SG: No. 63
DOS(E_F): 4.40 states/eV/cell
Density: 8.14 g/cm3
E_form: -437 meV per atom

=====

No. 2
A plane-wave DFT calculation with PBE-GGA was carried out for an optimized crystal structure of LiAsAu4.

```
LiAsAu4
1.0
0.000 3.908 3.908
3.908 0.000 3.908
3.908 3.908 0.000
Au Li As
4 1 1
Cartesian
2.932 2.932 2.932
4.883 4.883 2.932
2.932 4.883 4.883
4.883 2.932 4.883
5.861 5.861 5.861
0.000 0.000 0.000
```

Values from the calculation:
SG: No. 216
DOS(E_F): 1.57 states/eV/cell
Density: 12.10 g/cm3
E_form: -3 meV per atom

=====

No. 3
A plane-wave DFT calculation with PBE-GGA was carried out for an optimized crystal structure of Li5As3Au3.

```
Li5As3Au3
1.0
-0.481 1.239 4.332
7.458 -2.611 1.575
-1.194 7.625 -2.313
Li As Au
5 3 3
Cartesian
4.972 -1.206 3.267
1.449 4.832 1.149
1.645 2.129 1.944
4.333 1.420 2.445
-1.075 5.949 0.550
3.880 3.917 1.681
-0.649 3.229 1.375
2.312 -0.274 2.705
-0.552 3.524 -1.069
3.369 2.696 -0.397
3.447 -1.207 0.728
```

Values from the calculation:
SG: No. 189
DOS(E_F): 5.25 states/eV/cell
Density: 5.54 g/cm3
E_form: -356 meV per atom

=====

No. 4
A plane-wave DFT calculation with PBE-GGA was carried out for an optimized crystal structure of LiAs2Au2.

```
LiAs2Au2
1.0
4.460 0.000 0.000
0.000 4.460 0.000
2.230 2.230 5.366
Au As Li
2 2 1
Cartesian
4.460 2.230 2.683
2.230 4.460 2.683
2.230 2.230 1.221
4.460 4.460 4.145
0.000 0.000 0.000
```

Values from the calculation:
Energy above the most stable polymorph in this dataset: 0.000 eV per atom
SG: No. 139
DOS(E_F): 1.51 states/eV/cell
Density: 8.57 g/cm3
E_form: -85 meV per atom